The following is a PBE calculation of crystalline NdZn3Pd at its relaxed geometry, from the Alexandria database.

Cell lengths 5.525, 5.538, 6.109 Å; angles 90.00, 92.30, 90.00 degrees
Space group P2_1/m (No. 11)
One atom of each set of equivalent atoms:
Nd: 0.160 0.250 0.177 (multiplicity 2)
Zn: 0.332 0.011 0.669 (multiplicity 4)
Zn: 0.367 0.750 0.047 (multiplicity 2)
Pd: 0.084 0.750 0.374 (multiplicity 2)

ΔE_f: -0.470 eV/atom
DOS at the Fermi energy: 1.56 states/eV/f.u.
Calculated total energy: -3.23 eV/atom
Spin magnetization: 0.00 μB/f.u.